1.
Below is a geometry-optimized Tl17GaSn11 structure, with properties calculated at the PBE-GGA level.

Summary:
Calculated formation energy   0.01 eV/atom
Size of the total moment   0.0 μB/f.u.
Crystal system   monoclinic

Cell lengths 10.483, 10.483, 10.389 Å; angles 109.35, 109.35, 109.93 degrees
Atoms (fractional coordinates):
Tl  0.000  0.000  0.000
Tl  0.001  0.001  0.358
Tl  0.001  0.402  0.042
Tl  0.001  0.647  0.359
Tl  0.286  0.601  0.957
Tl  0.317  0.317  0.069
Tl  0.319  0.718  0.673
Tl  0.363  0.363  0.716
Tl  0.402  0.001  0.042
Tl  0.402  0.686  0.356
Tl  0.601  0.286  0.957
Tl  0.609  0.609  0.639
Tl  0.647  0.001  0.359
Tl  0.686  0.402  0.356
Tl  0.688  0.999  0.752
Tl  0.718  0.319  0.673
Tl  0.999  0.688  0.752
Ga  0.820  0.820  0.539
Sn  0.004  0.367  0.545
Sn  0.178  0.815  0.170
Sn  0.179  0.997  0.716
Sn  0.186  0.364  0.357
Sn  0.364  0.186  0.357
Sn  0.367  0.004  0.545
Sn  0.637  0.820  0.993
Sn  0.645  0.645  0.194
Sn  0.815  0.178  0.170
Sn  0.820  0.637  0.993
Sn  0.997  0.179  0.716



2.
Below is a geometry-optimized Tl5Ga3Sn12 structure, with properties calculated at the PBE-GGA level.

Summary:
Calculated formation energy   0.21 eV/atom
Size of the total moment   0.0 μB/f.u.
Crystal system   cubic

Cell lengths 15.202, 15.202, 15.202 Å; angles 109.47, 109.47, 109.47 degrees
Atoms (fractional coordinates):
Tl  0.000  0.000  0.000
Tl  0.000  0.000  0.500
Tl  0.000  0.500  0.000
Tl  0.000  0.500  0.500
Tl  0.125  0.750  0.875
Tl  0.125  0.875  0.250
Tl  0.250  0.125  0.875
Tl  0.250  0.625  0.375
Tl  0.375  0.250  0.625
Tl  0.375  0.625  0.750
Tl  0.500  0.000  0.000
Tl  0.500  0.000  0.500
Tl  0.500  0.500  0.000
Tl  0.500  0.500  0.500
Tl  0.625  0.375  0.250
Tl  0.625  0.750  0.375
Tl  0.750  0.375  0.625
Tl  0.750  0.875  0.125
Tl  0.875  0.125  0.750
Tl  0.875  0.250  0.125
Ga  0.125  0.250  0.375
Ga  0.125  0.375  0.750
Ga  0.250  0.375  0.125
Ga  0.250  0.875  0.625
Ga  0.375  0.125  0.250
Ga  0.375  0.750  0.125
Ga  0.625  0.250  0.875
Ga  0.625  0.875  0.750
Ga  0.750  0.125  0.375
Ga  0.750  0.625  0.875
Ga  0.875  0.625  0.250
Ga  0.875  0.750  0.625
Sn  0.058  0.638  0.398
Sn  0.058  0.920  0.660
Sn  0.080  0.240  0.138
Sn  0.080  0.340  0.942
Sn  0.102  0.740  0.660
Sn  0.102  0.862  0.442
Sn  0.138  0.080  0.240
Sn  0.138  0.558  0.898
Sn  0.160  0.240  0.602
Sn  0.160  0.420  0.558
Sn  0.240  0.138  0.080
Sn  0.240  0.602  0.160
Sn  0.260  0.340  0.898
Sn  0.260  0.420  0.362
Sn  0.340  0.898  0.260
Sn  0.340  0.942  0.080
Sn  0.362  0.260  0.420
Sn  0.362  0.602  0.942
Sn  0.398  0.058  0.638
Sn  0.398  0.840  0.760
Sn  0.420  0.362  0.260
Sn  0.420  0.558  0.160
Sn  0.442  0.102  0.862
Sn  0.442  0.840  0.580
Sn  0.558  0.160  0.420
Sn  0.558  0.898  0.138
Sn  0.580  0.442  0.840
Sn  0.580  0.638  0.740
Sn  0.602  0.160  0.240
Sn  0.602  0.942  0.362
Sn  0.638  0.398  0.058
Sn  0.638  0.740  0.580
Sn  0.660  0.058  0.920
Sn  0.660  0.102  0.740
Sn  0.740  0.580  0.638
Sn  0.740  0.660  0.102
Sn  0.760  0.398  0.840
Sn  0.760  0.862  0.920
Sn  0.840  0.580  0.442
Sn  0.840  0.760  0.398
Sn  0.862  0.442  0.102
Sn  0.862  0.920  0.760
Sn  0.898  0.138  0.558
Sn  0.898  0.260  0.340
Sn  0.920  0.660  0.058
Sn  0.920  0.760  0.862
Sn  0.942  0.080  0.340
Sn  0.942  0.362  0.602